# GGA-PBE Sm2GePb, optimized geometry
data_Sm2GePb
_chemical_formula_sum 'Sm2 Ge1 Pb1'
_space_group_name_H-M_alt 'P 4/m m m'
_space_group_IT_number 123
_space_group_name_Hall '-P 4 2'
_cell_length_a 4.948
_cell_length_b 4.948
_cell_length_c 4.356
_cell_angle_alpha 90.00
_cell_angle_beta 90.00
_cell_angle_gamma 90.00
loop_
_atom_site_label
_atom_site_type_symbol
_atom_site_fract_x
_atom_site_fract_y
_atom_site_fract_z
Sm1 Sm 0.000 0.500 0.000
Ge1 Ge 0.000 0.000 0.500
Pb1 Pb 0.500 0.500 0.500
# formation energy from the elements	-514	meV/atom
# density of states at the Fermi level	4.1	states/eV/cell
# calculated total energy	-4.955	eV/atom
# size of the total moment	0.0	Bohr magnetons per cell